CaNi2Sn: relaxed, PBE.

```
8
Lattice="-0.821 -4.543 0.583 4.396 -0.615 1.396 -0.601 -1.098 9.163" Properties=species:S:1:pos:R:3 pbc="T T T"
Ni -0.282 -4.119 2.949
Ni -0.008 -2.632 7.329
Ni -0.821 -4.848 7.493
Ni 1.841 -4.842 3.700
Sn 0.000 0.000 0.000
Sn 0.183 -4.110 5.368
Ca 2.791 -2.146 5.775
Ca 1.788 -2.579 0.990
```

## Properties
Calculated density (g/cm³): 4.901
Space-group type: I-42d
Raw total energy (eV per atom): -4.370

Mg2PPd6: relaxed, PBE.

```
18
Lattice="6.091 0.000 -0.098 0.000 5.768 0.000 0.315 0.000 8.380" Properties=species:S:1:pos:R:3 pbc="T T T"
Pd 1.706 4.380 8.355
Pd 3.239 2.885 6.109
Pd 4.700 1.388 -0.073
Pd 1.709 1.384 8.355
Pd 4.598 1.500 4.117
Pd 0.278 0.001 6.411
Pd 3.167 2.883 2.173
Pd 4.697 4.384 -0.073
Pd 4.594 4.272 4.116
Pd 1.808 4.268 4.165
Pd 1.812 1.496 4.166
Pd 6.127 5.767 1.871
Mg 0.097 2.883 2.136
Mg 3.300 0.001 6.277
Mg 6.309 2.885 6.146
Mg 3.106 5.767 2.005
P 3.046 2.884 -0.049
P 0.157 0.000 4.190
```

## Properties
Calculated density (g/cm³): 8.096
Space-group type: C2/m
Distance to the lowest polymorph of the same formula (eV per atom): 0.000

no.,volume (Å³/f.u.)
1,94
2,147